[1]
11
Lattice="-5.8443 2.1568 -2.9201 0.0364 -5.7483 3.7802 0.1675 5.5944 6.4534" Properties=species:S:1:pos:R:3 comment="TiTl2Cr2Te6 PBE relaxed" space_group="No. 12" dft_energy_ev_per_atom=-4.96 formation_energy_uncorrected_mev_per_atom=-352 total_magnetization_mub_per_cell=6.16 pbc="T T T"
Cr -1.8255 -0.3356 4.7900
Cr -3.8148 2.3385 2.5235
Te -0.2456 1.6965 5.7779
Te -5.3948 0.3065 1.5356
Te -3.4182 -2.3505 3.7877
Te -2.2221 4.3535 3.5258
Te -1.5665 0.7476 2.2568
Te -4.0739 1.2554 5.0567
Tl -4.8900 0.8741 -1.8329
Tl -0.9178 -4.4656 2.6930
Ti 0.0838 2.7972 3.2267



[2]
11
Lattice="-5.4770 -3.0702 -2.7703 6.2916 -1.3546 -2.3830 0.4266 -4.5818 7.3331" Properties=species:S:1:pos:R:3 comment="Ti2Tl2CrTe6 PBE relaxed" space_group="No. 12" dft_energy_ev_per_atom=-4.92 formation_energy_uncorrected_mev_per_atom=-463 total_magnetization_mub_per_cell=4.12 pbc="T T T"
Te 2.6256 -4.4475 -1.6451
Te -1.3844 -4.5591 3.8250
Te -1.1366 -4.9959 -1.7689
Te 0.3559 -2.6562 0.9500
Te 2.3778 -4.0107 3.9488
Te 0.8853 -6.3505 1.2298
Tl 4.4086 -1.6291 -2.4450
Tl -3.5940 -2.7957 -2.7083
Ti -1.5247 -4.8160 1.0193
Ti 2.7659 -4.1906 1.1605
Cr 0.2133 -2.2909 3.6666



[3]
5
Lattice="5.3511 0.0000 0.0000 0.0000 5.3511 0.0000 0.0000 0.0000 4.5268" Properties=species:S:1:pos:R:3 comment="TiTlCrTe2 PBE relaxed" space_group="No. 123" dft_energy_ev_per_atom=-4.90 formation_energy_uncorrected_mev_per_atom=332 total_magnetization_mub_per_cell=0.89 pbc="T T T"
Cr 0.0000 0.0000 0.0000
Tl 2.6755 2.6755 2.2634
Te 0.0000 2.6755 0.0000
Te 2.6755 0.0000 0.0000
Ti 0.0000 0.0000 2.2634



[4]
5
Lattice="-2.5717 0.4151 -4.2729 -3.9168 -2.0598 2.1572 -1.6059 4.5263 1.4062" Properties=species:S:1:pos:R:3 comment="Ti2ZnCrTe PBE relaxed" space_group="No. 123" dft_energy_ev_per_atom=-5.05 formation_energy_uncorrected_mev_per_atom=920 total_magnetization_mub_per_cell=3.80 pbc="T T T"
Ti -0.8029 2.2632 0.7031
Ti -1.2858 0.2075 -2.1365
Zn -4.0472 1.4408 -0.3547
Te 0.0000 0.0000 0.0000
Cr -1.9584 -1.0299 1.0786



[5]
12
Lattice="-3.6893 1.7325 -6.3055 2.2793 -5.7538 -2.8989 -5.4937 -3.3424 2.3135" Properties=species:S:1:pos:R:3 comment="TlCrTe4 PBE relaxed" space_group="No. 15" e_above_lowest_polymorph_ev_per_fu=0.00 dft_energy_ev_per_atom=-4.14 formation_energy_uncorrected_mev_per_atom=-46 total_magnetization_mub_per_cell=6.12 pbc="T T T"
Te 0.1031 -2.1631 -0.6525
Te -0.8804 -3.4620 -4.8865
Te -3.5938 -6.5535 -4.1356
Te -7.0067 -5.2007 -6.2382
Te -6.0232 -3.9018 -2.0042
Te 0.3098 -6.1604 -1.8620
Te -3.3098 -0.8102 -2.7551
Te -7.2134 -1.2034 -5.0287
Tl -2.5360 -4.1125 -1.8644
Tl -4.3676 -3.2513 -5.0263
Cr -6.4042 -2.9148 0.7288
Cr -0.4994 -4.4489 -7.6195



[6]
4
Lattice="-1.2933 -3.2797 1.3839 0.6312 -1.6604 -3.3450 7.2145 -1.8773 2.2932" Properties=species:S:1:pos:R:3 comment="Tl2CrTe PBE relaxed" space_group="No. 99" e_above_lowest_polymorph_ev_per_fu=0.00 dft_energy_ev_per_atom=-4.24 formation_energy_uncorrected_mev_per_atom=131 total_magnetization_mub_per_cell=4.24 pbc="T T T"
Te 4.5537 -3.7411 0.5721
Tl 1.5933 -2.9708 -0.3689
Tl 7.1667 -1.8648 2.2780
Cr 4.0604 -1.0565 1.2906



[7]
6
Lattice="0.0000 4.5683 4.5683 4.5683 0.0000 4.5683 4.5683 4.5683 0.0000" Properties=species:S:1:pos:R:3 comment="TlCrTe4 PBE relaxed" space_group="No. 216" e_above_lowest_polymorph_ev_per_fu=3.16 dft_energy_ev_per_atom=-3.61 formation_energy_uncorrected_mev_per_atom=480 total_magnetization_mub_per_cell=5.22 pbc="T T T"
Te 3.4207 5.7159 5.7159
Te 5.7159 3.4207 5.7159
Te 3.4207 3.4207 3.4207
Te 5.7159 5.7159 3.4207
Tl 6.8524 6.8524 6.8524
Cr 0.0000 0.0000 0.0000



[8]
8
Lattice="4.3101 0.0000 0.0000 0.0000 4.3101 0.0000 2.1551 2.1551 12.2489" Properties=species:S:1:pos:R:3 comment="Tl2CrTe PBE relaxed" space_group="No. 122" e_above_lowest_polymorph_ev_per_fu=0.49 dft_energy_ev_per_atom=-4.12 formation_energy_uncorrected_mev_per_atom=254 total_magnetization_mub_per_cell=8.64 pbc="T T T"
Tl 3.2326 3.2235 9.1867
Tl 5.3876 5.3967 9.1867
Tl 3.2416 1.0775 3.0622
Tl 1.0685 3.2326 3.0622
Cr 2.1551 2.1551 0.0000
Cr 2.1551 4.3101 6.1244
Te 4.3101 2.1551 6.1244
Te 0.0000 0.0000 0.0000



[9]
4
Lattice="7.7528 -0.9354 -0.5488 7.1019 3.2470 -0.5488 7.1019 1.1051 3.1020" Properties=species:S:1:pos:R:3 comment="Tl2CrTe PBE relaxed" space_group="No. 166" e_above_lowest_polymorph_ev_per_fu=1.06 dft_energy_ev_per_atom=-3.98 formation_energy_uncorrected_mev_per_atom=395 total_magnetization_mub_per_cell=4.80 pbc="T T T"
Tl 11.1233 1.7309 1.0155
Tl 21.8117 3.3941 1.9912
Cr 5.4892 0.8542 0.5011
Te 16.4675 2.5625 1.5033



[10]
4
Lattice="0.0000 3.7476 3.7476 3.7476 0.0000 3.7476 3.7476 3.7476 0.0000" Properties=species:S:1:pos:R:3 comment="Tl2CrTe PBE relaxed" space_group="No. 225" e_above_lowest_polymorph_ev_per_fu=3.57 dft_energy_ev_per_atom=-3.35 formation_energy_uncorrected_mev_per_atom=1023 total_magnetization_mub_per_cell=0.02 pbc="T T T"
Tl 1.8738 1.8738 1.8738
Tl 5.6214 5.6214 5.6214
Cr 0.0000 0.0000 0.0000
Te 3.7476 3.7476 3.7476



[11]
6
Lattice="-0.2401 1.9536 -3.1324 -0.7699 -1.7073 -3.1904 -13.1632 1.9047 0.0124" Properties=species:S:1:pos:R:3 comment="TlCrTe PBE relaxed" space_group="No. 166" e_above_lowest_polymorph_ev_per_fu=0.10 dft_energy_ev_per_atom=-4.93 formation_energy_uncorrected_mev_per_atom=109 total_magnetization_mub_per_cell=0.00 pbc="T T T"
Cr -12.9800 1.9129 -2.1811
Cr -1.1932 0.2380 -4.1293
Te -11.7702 1.7752 -4.5443
Te -2.4030 0.3757 -1.7661
Tl -8.1214 1.1882 -0.8209
Tl -6.0518 0.9626 -5.4895



[12]
6
Lattice="3.5940 0.0000 0.0000 0.0000 3.5940 0.0000 0.0000 0.0000 11.9724" Properties=species:S:1:pos:R:3 comment="TlCrTe PBE relaxed" space_group="No. 129" e_above_lowest_polymorph_ev_per_fu=0.00 dft_energy_ev_per_atom=-4.97 formation_energy_uncorrected_mev_per_atom=75 total_magnetization_mub_per_cell=0.58 pbc="T T T"
Te 1.7970 0.0000 7.9001
Te 0.0000 1.7970 4.0722
Tl 1.7970 0.0000 1.1566
Tl 0.0000 1.7970 10.8157
Cr 1.7970 1.7970 5.9862
Cr 0.0000 0.0000 5.9862